1.
# Tb5Pr12Nd2 (PBE-GGA, optimized geometry)
# electronic total energy = -176.56 eV/cell
# Fermi-level density of states = 1.392 states/eV/atom
# crystal system = monoclinic
# density = 6.9 g/cm³
data_Tb5Pr12Nd2
_cell_length_a 18.247
_cell_length_b 11.864
_cell_length_c 6.309
_cell_angle_alpha 90.00
_cell_angle_beta 102.60
_cell_angle_gamma 90.00
_symmetry_space_group_name_H-M 'C 1 2/m 1'
_symmetry_Int_Tables_number 12
_symmetry_space_group_name_Hall '-C 2y'
loop_
_atom_site_label
_atom_site_type_symbol
_atom_site_fract_x
_atom_site_fract_y
_atom_site_fract_z
_atom_site_occupancy
Tb1 Tb 0.000 0.000 0.000 1
Tb2 Tb 0.178 0.500 0.358 1
Tb3 Tb 0.214 0.000 0.049 1
Pr1 Pr 0.057 0.500 0.774 1
Pr2 Pr 0.104 0.250 0.115 1
Pr3 Pr 0.122 0.000 0.497 1
Pr4 Pr 0.198 0.259 0.701 1
Nd1 Nd 0.000 0.227 0.500 1

***

2.
# TbPr4Nd15 (PBE-GGA, optimized geometry)
# electronic total energy = -94.99 eV/cell
# Fermi-level density of states = 1.487 states/eV/atom
# crystal system = tetragonal
# density = 6.8 g/cm³
data_TbPr4Nd15
_cell_length_a 5.212
_cell_length_b 5.212
_cell_length_c 26.004
_cell_angle_alpha 90.00
_cell_angle_beta 90.00
_cell_angle_gamma 90.00
_symmetry_space_group_name_H-M 'P 4/m m m'
_symmetry_Int_Tables_number 123
_symmetry_space_group_name_Hall '-P 4 2'
loop_
_atom_site_label
_atom_site_type_symbol
_atom_site_fract_x
_atom_site_fract_y
_atom_site_fract_z
_atom_site_occupancy
Tb1 Tb 0.000 0.000 0.000 1
Pr1 Pr 0.000 0.000 0.199 1
Pr2 Pr 0.000 0.000 0.400 1
Nd1 Nd 0.000 0.500 0.099 1
Nd2 Nd 0.000 0.500 0.299 1
Nd3 Nd 0.000 0.500 0.500 1
Nd4 Nd 0.500 0.500 0.000 1
Nd5 Nd 0.500 0.500 0.199 1
Nd6 Nd 0.500 0.500 0.400 1

***

3.
# Tb8PrNd2 (PBE-GGA, optimized geometry)
# electronic total energy = -100.26 eV/cell
# Fermi-level density of states = 1.363 states/eV/atom
# crystal system = orthorhombic
# energy above the most stable polymorph in this dataset = 0.000 eV/atom
# density = 7.7 g/cm³
data_Tb8PrNd2
_cell_length_a 5.580
_cell_length_b 8.205
_cell_length_c 16.080
_cell_angle_alpha 90.00
_cell_angle_beta 90.00
_cell_angle_gamma 90.00
_symmetry_space_group_name_H-M 'I m m m'
_symmetry_Int_Tables_number 71
_symmetry_space_group_name_Hall '-I 2 2'
loop_
_atom_site_label
_atom_site_type_symbol
_atom_site_fract_x
_atom_site_fract_y
_atom_site_fract_z
_atom_site_occupancy
Tb1 Tb 0.000 0.000 0.161 1
Tb2 Tb 0.000 0.206 0.362 1
Tb3 Tb 0.000 0.295 0.000 1
Pr1 Pr 0.000 0.500 0.500 1
Nd1 Nd 0.000 0.500 0.200 1

***

4.
# Tb3Pr8Nd2 (PBE-GGA, optimized geometry)
# electronic total energy = -119.25 eV/cell
# Fermi-level density of states = 1.621 states/eV/atom
# crystal system = monoclinic
# energy above the most stable polymorph in this dataset = 0.000 eV/atom
# density = 6.8 g/cm³
data_Tb3Pr8Nd2
_cell_length_a 13.527
_cell_length_b 11.970
_cell_length_c 6.205
_cell_angle_alpha 90.00
_cell_angle_beta 113.63
_cell_angle_gamma 90.00
_symmetry_space_group_name_H-M 'C 1 2/m 1'
_symmetry_Int_Tables_number 12
_symmetry_space_group_name_Hall '-C 2y'
loop_
_atom_site_label
_atom_site_type_symbol
_atom_site_fract_x
_atom_site_fract_y
_atom_site_fract_z
_atom_site_occupancy
Tb1 Tb 0.000 0.000 0.000 1
Tb2 Tb 0.000 0.264 0.500 1
Pr1 Pr 0.083 0.500 0.263 1
Pr2 Pr 0.139 0.000 0.595 1
Pr3 Pr 0.164 0.240 0.160 1
Nd1 Nd 0.193 0.500 0.843 1

***

5.
# Tb4Pr2Nd5 (PBE-GGA, optimized geometry)
# electronic total energy = -99.95 eV/cell
# Fermi-level density of states = 1.456 states/eV/atom
# crystal system = orthorhombic
# energy above the most stable polymorph in this dataset = 0.040 eV/atom
# density = 6.9 g/cm³
data_Tb4Pr2Nd5
_cell_length_a 3.563
_cell_length_b 9.271
_cell_length_c 23.730
_cell_angle_alpha 90.00
_cell_angle_beta 90.00
_cell_angle_gamma 90.00
_symmetry_space_group_name_H-M 'I m m m'
_symmetry_Int_Tables_number 71
_symmetry_space_group_name_Hall '-I 2 2'
loop_
_atom_site_label
_atom_site_type_symbol
_atom_site_fract_x
_atom_site_fract_y
_atom_site_fract_z
_atom_site_occupancy
Tb1 Tb 0.000 0.000 0.096 1
Tb2 Tb 0.000 0.311 0.500 1
Pr1 Pr 0.000 0.000 0.232 1
Nd1 Nd 0.000 0.198 0.357 1
Nd2 Nd 0.000 0.500 0.000 1

***

6.
# TbPr7Nd2 (PBE-GGA, optimized geometry)
# electronic total energy = -83.12 eV/cell
# Fermi-level density of states = 1.614 states/eV/atom
# crystal system = orthorhombic
# energy above the most stable polymorph in this dataset = 0.445 eV/atom
# density = 5.7 g/cm³
data_TbPr7Nd2
_cell_length_a 8.877
_cell_length_b 17.076
_cell_length_c 5.553
_cell_angle_alpha 90.00
_cell_angle_beta 90.00
_cell_angle_gamma 90.00
_symmetry_space_group_name_H-M 'C m m m'
_symmetry_Int_Tables_number 65
_symmetry_space_group_name_Hall '-C 2 2'
loop_
_atom_site_label
_atom_site_type_symbol
_atom_site_fract_x
_atom_site_fract_y
_atom_site_fract_z
_atom_site_occupancy
Tb1 Tb 0.000 0.000 0.000 1
Pr1 Pr 0.000 0.217 0.000 1
Pr2 Pr 0.000 0.500 0.500 1
Pr3 Pr 0.181 0.111 0.500 1
Nd1 Nd 0.000 0.296 0.500 1